## Nb2NiHPt (GGA-PBE)

Data for a relaxed Nb2NiHPt crystal.

a b c (Å): 4.0370 4.0370 4.0110
angles (deg): 90.00 90.00 90.00
Last column: nearest neighbours and their distance in Å.
Sites, in units of the cell vectors:
1 Nb 0.0000 0.5000 0.0000  2 H 2.02
2 Nb 0.5000 0.0000 0.0000  2 H 2.02
3 Ni 0.0000 0.0000 0.5000  8 Nb 2.85, 4 Pt 2.85
4 H 0.5000 0.5000 0.0000  2 Pt 2.01, 4 Nb 2.02
5 Pt 0.5000 0.5000 0.5000  2 H 2.01

Results
- DFT total energy (eV for the cell shown) = -36.6
- calculated density (g cm⁻³) = 11.2
- space group = P4/mmm, No. 123
- E above lowest polymorph (meV per atom) = 98
- M_tot (μB/cell) = 0.0

=====

## LaAuI6 (GGA-PBE)

Data for a relaxed LaAuI6 crystal.

a b c (Å): 6.2979 8.0284 8.7203
angles (deg): 69.36 75.15 86.03
Last column: nearest neighbours and their distance in Å.
Sites, in units of the cell vectors:
1 La 0.0000 0.0000 0.0000  6 I 3.07-3.28
2 Au 0.5000 0.5000 0.0000  4 I 2.67-2.74
3 I 0.0173 0.8071 0.3689  1 La 3.07
4 I 0.2753 0.3796 0.8269  1 Au 2.74
5 I 0.4324 0.8325 0.8093  1 Au 2.67
6 I 0.5676 0.1675 0.1907  1 Au 2.67
7 I 0.7247 0.6204 0.1731  1 Au 2.74
8 I 0.9828 0.1929 0.6311  1 La 3.07

Results
- DFT total energy (eV for the cell shown) = -23.1
- calculated density (g cm⁻³) = 4.6
- space group = P-1, No. 2
- M_tot (μB/cell) = 0.0
- formation energy without anion corrections (eV/atom) = -0.7030

=====

## Sm6Al2Tl (GGA-PBE)

Data for a relaxed Sm6Al2Tl crystal.

a b c (Å): 8.9762 8.9762 5.1757
angles (deg): 106.70 106.70 48.36
Last column: nearest neighbours and their distance in Å.
Sites, in units of the cell vectors:
1 Sm 0.0751 0.5847 0.3300  3 Al 3.14-3.15, 1 Tl 3.24
2 Sm 0.2403 0.7597 0.0000  2 Al 3.15, 2 Tl 3.22
3 Sm 0.4153 0.9249 0.6700  3 Al 3.14-3.15, 1 Tl 3.24
4 Sm 0.5847 0.0751 0.3300  3 Al 3.14-3.15, 1 Tl 3.24
5 Sm 0.7597 0.2403 0.0000  2 Al 3.15, 2 Tl 3.22
6 Sm 0.9249 0.4153 0.6700  3 Al 3.14-3.15, 1 Tl 3.24
7 Al 0.1676 0.1676 0.1674  8 Sm 3.14-3.15
8 Al 0.8324 0.8324 0.8326  8 Sm 3.14-3.15
9 Tl 0.5000 0.5000 0.5000  8 Sm 3.22-3.24

Results
- DFT total energy (eV for the cell shown) = -38.5
- calculated density (g cm⁻³) = 6.5
- space group = C2/m, No. 12
- E above lowest polymorph (meV per atom) = 216
- M_tot (μB/cell) = 0.0

=====

## Zn2NiAu8 (GGA-PBE)

Data for a relaxed Zn2NiAu8 crystal.

a b c (Å): 7.4719 7.4719 6.5764
angles (deg): 107.81 107.81 32.25
Last column: nearest neighbours and their distance in Å.
Sites, in units of the cell vectors:
1 Zn 0.2213 0.2213 0.1501  10 Au 2.75-2.93
2 Zn 0.7787 0.7787 0.8499  10 Au 2.75-2.93
3 Ni 0.5000 0.5000 0.5000  12 Au 2.74-2.92
4 Au 0.0419 0.0419 0.2347  1 Zn 2.80, 9 Au 2.83-3.08, 2 Ni 2.89
5 Au 0.1435 0.1435 0.6975  3 Zn 2.80-2.83, 7 Au 2.84-2.93, 2 Ni 2.92
6 Au 0.3241 0.3241 0.5820  1 Ni 2.74, 3 Zn 2.75-2.93, 8 Au 2.83-2.92
7 Au 0.4000 0.4000 0.0484  3 Zn 2.76-2.85, 7 Au 2.86-3.08, 1 Ni 2.86
8 Au 0.6000 0.6000 0.9516  3 Zn 2.76-2.85, 7 Au 2.86-3.08, 1 Ni 2.86
9 Au 0.6759 0.6759 0.4180  1 Ni 2.74, 3 Zn 2.75-2.93, 8 Au 2.83-2.92
10 Au 0.8565 0.8565 0.3025  3 Zn 2.80-2.83, 7 Au 2.84-2.93, 2 Ni 2.92
11 Au 0.9581 0.9581 0.7653  1 Zn 2.80, 9 Au 2.83-3.08, 2 Ni 2.89

Results
- DFT total energy (eV for the cell shown) = -35.2
- calculated density (g cm⁻³) = 15.8
- space group = C2/m, No. 12
- M_tot (μB/cell) = 0.0

=====

## TmPu2Co9 (GGA-PBE)

Data for a relaxed TmPu2Co9 crystal.

a b c (Å): 8.6340 8.6340 8.6340
angles (deg): 32.95 32.95 32.95
Last column: nearest neighbours and their distance in Å.
Sites, in units of the cell vectors:
1 Tm 0.0000 0.0000 0.0000  18 Co 2.83-3.15
2 Pu 0.1397 0.1397 0.1397  12 Co 2.84-3.09, 3 Pu 3.12
3 Pu 0.8603 0.8603 0.8603  12 Co 2.84-3.09, 3 Pu 3.12
4 Co 0.0812 0.5811 0.5811  7 Co 2.44-2.53
5 Co 0.3332 0.3332 0.3332  6 Co 2.44
6 Co 0.4189 0.4189 0.9188  7 Co 2.44-2.53
7 Co 0.4189 0.9188 0.4189  7 Co 2.44-2.53
8 Co 0.5000 0.5000 0.5000  6 Co 2.53
9 Co 0.5811 0.0812 0.5811  7 Co 2.44-2.53
10 Co 0.5811 0.5811 0.0812  7 Co 2.44-2.53
11 Co 0.6668 0.6668 0.6668  6 Co 2.44
12 Co 0.9188 0.4189 0.4189  7 Co 2.44-2.53

Results
- DFT total energy (eV for the cell shown) = -99.1
- calculated density (g cm⁻³) = 11.6
- space group = R-3m, No. 166
- M_tot (μB/cell) = 0.4

=====

## Tm4CdRh7 (GGA-PBE)

Data for a relaxed Tm4CdRh7 crystal.

a b c (Å): 6.0087 6.0087 9.9060
angles (deg): 117.79 117.79 49.41
Last column: nearest neighbours and their distance in Å.
Sites, in units of the cell vectors:
1 Tm 0.0954 0.0954 0.2833  6 Rh 2.67-2.88
2 Tm 0.2608 0.2608 0.8383  5 Rh 2.68-2.91
3 Tm 0.7392 0.7392 0.1617  5 Rh 2.68-2.91
4 Tm 0.9046 0.9046 0.7167  6 Rh 2.67-2.88
5 Cd 0.5000 0.5000 0.5000  4 Rh 2.51-2.80
6 Rh 0.0000 0.0000 0.5000  2 Cd 2.51
7 Rh 0.1279 0.1279 0.0125  2 Rh 2.67-2.75, 5 Tm 2.68-2.88
8 Rh 0.2946 0.2946 0.5885  4 Tm 2.67-2.79, 4 Rh 2.75-2.93, 1 Cd 2.80
9 Rh 0.4219 0.4219 0.1808  4 Rh 2.75-3.03, 1 Cd 2.82, 3 Tm 2.91-2.99
10 Rh 0.5781 0.5781 0.8192  4 Rh 2.75-3.03, 1 Cd 2.82, 3 Tm 2.91-2.99
11 Rh 0.7054 0.7054 0.4115  4 Tm 2.67-2.79, 4 Rh 2.75-2.93, 1 Cd 2.80
12 Rh 0.8721 0.8721 0.9875  2 Rh 2.67-2.75, 5 Tm 2.68-2.88

Results
- DFT total energy (eV for the cell shown) = -74.7
- calculated density (g cm⁻³) = 10.7
- space group = C2/m, No. 12
- M_tot (μB/cell) = 0.0

=====

## Zr5Be (GGA-PBE)

Data for a relaxed Zr5Be crystal.

a b c (Å): 5.3988 5.3988 5.0514
angles (deg): 90.00 90.00 120.00
Last column: nearest neighbours and their distance in Å.
Sites, in units of the cell vectors:
1 Zr 0.0000 0.6861 0.0000  10 Zr 2.93-3.21, 2 Be 3.04
2 Zr 0.3139 0.3139 0.0000  10 Zr 2.93-3.21, 2 Be 3.04
3 Zr 0.3333 0.6667 0.5000  3 Be 3.12, 9 Zr 3.12-3.13
4 Zr 0.6667 0.3333 0.5000  3 Be 3.12, 9 Zr 3.12-3.13
5 Zr 0.6861 0.0000 0.0000  10 Zr 2.93-3.21, 2 Be 3.04
6 Be 0.0000 0.0000 0.5000  12 Zr 3.04-3.12

Results
- DFT total energy (eV for the cell shown) = -45.7
- calculated density (g cm⁻³) = 6.1
- space group = P-62m, No. 189
- E above lowest polymorph (meV per atom) = 110
- M_tot (μB/cell) = 0.0

=====

## HgRu (GGA-PBE)

Data for a relaxed HgRu crystal.

a b c (Å): 2.9539 2.9539 13.8127
angles (deg): 90.00 90.00 120.00
Last column: nearest neighbours and their distance in Å.
Sites, in units of the cell vectors:
1 Hg 0.0000 0.0000 0.0000  6 Ru 2.87, 6 Hg 2.95
2 Hg 0.3333 0.6667 0.6667  6 Ru 2.87, 6 Hg 2.95
3 Hg 0.6667 0.3333 0.3333  6 Ru 2.87, 6 Hg 2.95
4 Ru 0.0000 0.0000 0.5000  6 Hg 2.87, 6 Ru 2.95
5 Ru 0.3333 0.6667 0.1667  6 Hg 2.87, 6 Ru 2.95
6 Ru 0.6667 0.3333 0.8333  6 Hg 2.87, 6 Ru 2.95

Results
- DFT total energy (eV for the cell shown) = -24.8
- calculated density (g cm⁻³) = 14.4
- space group = R-3m, No. 166
- M_tot (μB/cell) = 2.3

=====

## Rb3FeOs (GGA-PBE)

Data for a relaxed Rb3FeOs crystal.

a b c (Å): 6.4574 6.4574 6.4574
angles (deg): 90.00 90.00 90.00
Last column: nearest neighbours and their distance in Å.
Sites, in units of the cell vectors:
1 Rb 0.0000 0.0000 0.5000  2 Os 3.23
2 Rb 0.0000 0.5000 0.0000  2 Os 3.23
3 Rb 0.5000 0.0000 0.0000  2 Os 3.23
4 Fe 0.5000 0.5000 0.5000  12 Rb 4.57
5 Os 0.0000 0.0000 0.0000  6 Rb 3.23

Results
- DFT total energy (eV for the cell shown) = -13.6
- calculated density (g cm⁻³) = 3.1
- space group = Pm-3m, No. 221
- E above lowest polymorph (meV per atom) = 0
- M_tot (μB/cell) = 5.0

=====

## Ce2MgTl4 (GGA-PBE)

Data for a relaxed Ce2MgTl4 crystal.

a b c (Å): 5.7123 5.7123 13.3288
angles (deg): 90.00 90.00 90.00
Last column: nearest neighbours and their distance in Å.
Sites, in units of the cell vectors:
1 Ce 0.0000 0.0000 0.1338  8 Tl 3.25-3.37, 1 Ce 3.57
2 Ce 0.0000 0.0000 0.8662  8 Tl 3.25-3.37, 1 Ce 3.57
3 Ce 0.5000 0.5000 0.3662  8 Tl 3.25-3.37, 1 Ce 3.57
4 Ce 0.5000 0.5000 0.6338  8 Tl 3.25-3.37, 1 Ce 3.57
5 Mg 0.0000 0.0000 0.5000  4 Tl 2.86
6 Mg 0.5000 0.5000 0.0000  4 Tl 2.86
7 Tl 0.0000 0.5000 0.0000  2 Mg 2.86
8 Tl 0.0000 0.5000 0.2500  4 Ce 3.25, 2 Tl 3.33
9 Tl 0.0000 0.5000 0.5000  2 Mg 2.86
10 Tl 0.0000 0.5000 0.7500  4 Ce 3.25, 2 Tl 3.33
11 Tl 0.5000 0.0000 0.0000  2 Mg 2.86
12 Tl 0.5000 0.0000 0.2500  4 Ce 3.25, 2 Tl 3.33
13 Tl 0.5000 0.0000 0.5000  2 Mg 2.86
14 Tl 0.5000 0.0000 0.7500  4 Ce 3.25, 2 Tl 3.33

Results
- DFT total energy (eV for the cell shown) = -45.5
- calculated density (g cm⁻³) = 8.6
- space group = I4/mmm, No. 139
- M_tot (μB/cell) = 4.3

=====

## La2YHo3 (GGA-PBE)

Data for a relaxed La2YHo3 crystal.

a b c (Å): 9.0211 9.0211 10.2369
angles (deg): 122.90 122.90 36.25
Last column: nearest neighbours and their distance in Å.
Sites, in units of the cell vectors:
1 La 0.0115 0.0115 0.3651  1 La 3.00, 1 Ho 3.15
2 La 0.2754 0.2754 0.6350  3 Ho 3.41-3.77, 3 La 3.68-3.72, 2 Y 3.73
3 La 0.7246 0.7246 0.3650  3 Ho 3.41-3.77, 3 La 3.68-3.72, 2 Y 3.73
4 La 0.9885 0.9885 0.6349  1 La 3.00, 1 Ho 3.15
5 Y 0.3635 0.3635 0.3518  5 Ho 3.58-3.66, 7 La 3.71-3.96, 1 Y 3.86
6 Y 0.6365 0.6365 0.6482  5 Ho 3.58-3.66, 7 La 3.71-3.96, 1 Y 3.86
7 Ho 0.1107 0.1107 0.1510  4 Ho 3.25-3.53, 3 La 3.41-3.46, 1 Y 3.58
8 Ho 0.2046 0.2046 0.9224  1 La 3.15, 4 Ho 3.16-3.52
9 Ho 0.4479 0.4479 0.0990  8 Ho 3.38-3.78, 1 Y 3.62, 2 La 3.62
10 Ho 0.5521 0.5521 0.9010  8 Ho 3.38-3.78, 1 Y 3.62, 2 La 3.62
11 Ho 0.7954 0.7954 0.0776  1 La 3.15, 4 Ho 3.16-3.52
12 Ho 0.8893 0.8893 0.8490  4 Ho 3.25-3.53, 3 La 3.41-3.46, 1 Y 3.58

Results
- DFT total energy (eV for the cell shown) = -59.0
- calculated density (g cm⁻³) = 7.1
- space group = C2/m, No. 12
- E above lowest polymorph (meV per atom) = 0
- M_tot (μB/cell) = 0.0

=====

## YSb2Os (GGA-PBE)

Data for a relaxed YSb2Os crystal.

a b c (Å): 4.4609 4.4609 19.5944
angles (deg): 90.00 90.00 90.00
Last column: nearest neighbours and their distance in Å.
Sites, in units of the cell vectors:
1 Y 0.0000 0.0000 0.0000  4 Sb 2.99, 4 Os 3.15
2 Y 0.0000 0.5000 0.2500  4 Sb 2.99, 4 Os 3.15
3 Y 0.5000 0.0000 0.7500  4 Sb 2.99, 4 Os 3.15
4 Y 0.5000 0.5000 0.5000  4 Sb 2.99, 4 Os 3.15
5 Sb 0.2077 0.2500 0.6250  2 Os 2.85, 2 Sb 2.90, 2 Y 2.99
6 Sb 0.2500 0.7077 0.8750  2 Os 2.85, 2 Sb 2.90, 2 Y 2.99
7 Sb 0.2500 0.7923 0.3750  2 Os 2.85, 2 Sb 2.90, 2 Y 2.99
8 Sb 0.2923 0.2500 0.1250  2 Os 2.85, 2 Sb 2.90, 2 Y 2.99
9 Sb 0.7077 0.7500 0.1250  2 Os 2.85, 2 Sb 2.90, 2 Y 2.99
10 Sb 0.7500 0.2077 0.3750  2 Os 2.85, 2 Sb 2.90, 2 Y 2.99
11 Sb 0.7500 0.2923 0.8750  2 Os 2.85, 2 Sb 2.90, 2 Y 2.99
12 Sb 0.7923 0.7500 0.6250  2 Os 2.85, 2 Sb 2.90, 2 Y 2.99
13 Os 0.0000 0.0000 0.5000  4 Sb 2.85, 4 Y 3.15
14 Os 0.0000 0.5000 0.7500  4 Sb 2.85, 4 Y 3.15
15 Os 0.5000 0.0000 0.2500  4 Sb 2.85, 4 Y 3.15
16 Os 0.5000 0.5000 0.0000  4 Sb 2.85, 4 Y 3.15

Results
- DFT total energy (eV for the cell shown) = -100.9
- calculated density (g cm⁻³) = 8.9
- space group = I-42d, No. 122
- E above lowest polymorph (meV per atom) = 487
- M_tot (μB/cell) = 0.0
- formation energy without anion corrections (eV/atom) = 0.1790

=====

## KTlV2I8 (GGA-PBE)

Data for a relaxed KTlV2I8 crystal.

a b c (Å): 11.5090 11.5090 11.5090
angles (deg): 39.75 39.75 39.75
Last column: nearest neighbours and their distance in Å.
Sites, in units of the cell vectors:
1 K 0.0000 0.0000 0.0000  6 I 3.70
2 Tl 0.5000 0.5000 0.5000  6 I 3.97
3 V 0.2416 0.2416 0.2416  4 I 2.56-2.60
4 V 0.7584 0.7584 0.7584  4 I 2.56-2.60
5 I 0.0741 0.6738 0.4507  1 V 2.60
6 I 0.1610 0.1610 0.1610  1 V 2.56
7 I 0.3262 0.5493 0.9259  1 V 2.60
8 I 0.4507 0.0741 0.6738  1 V 2.60
9 I 0.5493 0.9259 0.3262  1 V 2.60
10 I 0.6738 0.4507 0.0741  1 V 2.60
11 I 0.8390 0.8390 0.8390  1 V 2.56
12 I 0.9259 0.3262 0.5493  1 V 2.60

Results
- DFT total energy (eV for the cell shown) = -41.1
- calculated density (g cm⁻³) = 4.0
- space group = R-3, No. 148
- M_tot (μB/cell) = 4.0
- formation energy without anion corrections (eV/atom) = -0.5854